Entry 1:
# CoWBr2

An optimized crystal structure of CoWBr2 (GGA-PBE, Alexandria via LeMat-Bulk).

Geometry as POSCAR:
```
CoWBr2
1.0
3.2068 0.0107 0.0000
-0.6585 3.1385 0.0000
0.0000 0.0000 8.4806
Br Co W
2 1 1
Direct
0.0000 0.0000 0.9170
0.5000 0.5000 0.3600
0.0000 0.0000 0.5392
0.5000 0.5000 0.6838
```

Computed properties:
- space-group type = No. 35
- formation energy without anion corrections (meV per atom) = 398
- polymorph energy (0 for the lowest one) (meV/atom) = 216

=====

Entry 2:
# Ge19P4I4

An optimized crystal structure of Ge19P4I4 (GGA-PBE, Alexandria via LeMat-Bulk).

Geometry as POSCAR:
```
Ge19P4I4
1.0
10.6757 0.0000 0.0000
0.0000 10.6757 0.0000
0.0000 0.0000 10.6757
Ge P I
38 8 8
Direct
0.9984 0.1190 0.3061
0.5016 0.8061 0.3810
0.5016 0.1939 0.6190
0.1939 0.3810 0.4984
0.8061 0.3810 0.5016
0.6190 0.5016 0.1939
0.3810 0.4984 0.1939
0.3061 0.9984 0.1190
0.1190 0.3061 0.9984
0.8810 0.6939 0.9984
0.3061 0.0016 0.8810
0.8810 0.3061 0.0016
0.6939 0.0016 0.1190
0.6939 0.9984 0.8810
0.1190 0.6939 0.0016
0.9984 0.8810 0.6939
0.0016 0.1190 0.6939
0.0016 0.8810 0.3061
0.3810 0.5016 0.8061
0.6190 0.4984 0.8061
0.1939 0.6190 0.5016
0.8061 0.6190 0.4984
0.4984 0.1939 0.3810
0.4984 0.8061 0.6190
0.1858 0.1858 0.1858
0.3142 0.6858 0.3142
0.3142 0.3142 0.6858
0.6858 0.3142 0.3142
0.8142 0.8142 0.1858
0.1858 0.8142 0.8142
0.8142 0.1858 0.8142
0.6858 0.6858 0.6858
0.0000 0.2500 0.5000
0.5000 0.0000 0.2500
0.5000 0.0000 0.7500
0.7500 0.5000 0.0000
0.2500 0.5000 0.0000
0.0000 0.7500 0.5000
0.8158 0.8158 0.8158
0.6842 0.3158 0.6842
0.6842 0.6842 0.3158
0.3158 0.6842 0.6842
0.1842 0.1842 0.8158
0.8158 0.1842 0.1842
0.1842 0.8158 0.1842
0.3158 0.3158 0.3158
0.0000 0.5000 0.2500
0.5000 0.7500 0.0000
0.5000 0.2500 0.0000
0.2500 0.0000 0.5000
0.7500 0.0000 0.5000
0.0000 0.5000 0.7500
0.0000 0.0000 0.0000
0.5000 0.5000 0.5000
```

Computed properties:
- space-group type = No. 218
- formation energy without anion corrections (meV per atom) = -87

=====

Summary of magnetic moment in μB/f.u.
0.79; 0.00
(order as listed above)